Density functional theory data (PBE) for a relaxed CeB4Ru crystal.

abc: 3.6260 6.0047 11.6449
angles: 90.00 90.00 90.00
Sites, in units of the cell vectors:
B1 0.5000 0.6375 0.5320
B2 0.5000 0.1118 0.5457
B3 0.5000 0.0262 0.6905
B4 0.5000 0.7145 0.6858
B5 0.5000 0.7855 0.1858
B6 0.5000 0.8625 0.0320
B7 0.5000 0.8882 0.4543
B8 0.5000 0.2145 0.8142
B9 0.5000 0.3882 0.0457
B10 0.5000 0.4738 0.1905
B11 0.5000 0.1375 0.9680
B12 0.5000 0.5262 0.8095
B13 0.5000 0.2855 0.3142
B14 0.5000 0.9738 0.3095
B15 0.5000 0.6118 0.9543
B16 0.5000 0.3625 0.4680
Ce1 0.0000 0.6280 0.3504
Ce2 0.0000 0.1280 0.1496
Ce3 0.0000 0.3720 0.6496
Ce4 0.0000 0.8720 0.8504
Ru1 0.0000 0.3608 0.9065
Ru2 0.0000 0.1392 0.4065
Ru3 0.0000 0.6392 0.0935
Ru4 0.0000 0.8608 0.5935

Properties
The magnetization comes out at 0.0 μB/cell. The volume comes out at 254 Å³/cell. For the mass density, the calculation gives 7.5 g cm⁻³. The value obtained for the formation energy is -0.600 eV per atom. As for the space-group type: No. 55.